No. 1
{"formula": "SmAl3AgPt", "functional": "PBE", "state": "relaxed", "lattice_angstrom": [[-5.910, 0.020, 0.724], [0.219, -5.616, 1.939], [0.665, 4.999, 5.289]], "species": ["Sm", "Sm", "Al", "Al", "Al", "Al", "Al", "Al", "Ag", "Ag", "Pt", "Pt"], "fractional_positions": [[0.750, 0.297, 0.594], [0.250, 0.703, 0.406], [0.250, 0.130, 0.261], [0.000, 0.280, 0.000], [0.500, 0.720, 0.000], [0.500, 0.280, 0.000], [0.000, 0.720, 0.000], [0.750, 0.870, 0.739], [0.250, 0.338, 0.677], [0.750, 0.662, 0.323], [0.250, 0.912, 0.824], [0.750, 0.088, 0.176]], "total_magnetization_mub_per_fu": 0.00, "final_energy_ha_per_atom": -0.1701, "delta_e_f_kj_per_mol_fu": -282}

***

No. 2
{"formula": "Sm2Al3AgPt4", "functional": "PBE", "state": "relaxed", "lattice_angstrom": [[-1.704, -3.632, 0.787], [-0.121, -0.812, -4.005], [10.483, -4.777, 0.652]], "species": ["Sm", "Sm", "Al", "Al", "Al", "Ag", "Pt", "Pt", "Pt", "Pt"], "fractional_positions": [[0.500, 0.000, 0.253], [0.000, 0.500, 0.747], [0.000, 0.000, 0.500], [0.500, 0.000, 0.875], [0.000, 0.500, 0.125], [0.500, 0.500, 0.500], [0.500, 0.500, 0.000], [0.000, 0.000, 0.000], [0.500, 0.000, 0.661], [0.000, 0.500, 0.339]], "total_magnetization_mub_per_fu": 0.00, "final_energy_ha_per_atom": -0.2106, "delta_e_f_kj_per_mol_fu": -929}